Run P
## TcAuBr2 (PBE)

Data for TcAuBr2 after structural relaxation.

```
8
Lattice="4.7522 0.0000 0.0000 0.0000 4.7522 0.0000 0.0000 0.0000 7.8857" Properties=species:S:1:pos:R:3 pbc="T T T"
Tc 0.0000 0.0000 0.0000
Tc 2.3761 2.3761 3.9428
Au 0.0000 0.0000 3.9428
Au 2.3761 2.3761 0.0000
Br 0.0000 2.3761 1.9714
Br 0.0000 2.3761 5.9143
Br 2.3761 0.0000 1.9714
Br 2.3761 0.0000 5.9143
```

Output
SG	No. 139

***

Run Q
## TcAuBr2 (PBE)

Data for TcAuBr2 after structural relaxation.

```
16
Lattice="8.8148 0.0000 0.0000 0.0000 8.8148 0.0000 0.0000 0.0000 5.3603" Properties=species:S:1:pos:R:3 pbc="T T T"
Tc 0.0000 0.0000 0.0000
Tc 0.0000 4.4074 1.3401
Tc 4.4074 0.0000 4.0202
Tc 4.4074 4.4074 2.6802
Au 0.0000 0.0000 2.6802
Au 0.0000 4.4074 4.0202
Au 4.4074 0.0000 1.3401
Au 4.4074 4.4074 0.0000
Br 0.9287 2.2037 0.6700
Br 2.2037 5.3361 2.0101
Br 2.2037 7.8861 4.6903
Br 3.4787 2.2037 3.3502
Br 5.3361 6.6111 3.3502
Br 6.6111 0.9287 4.6903
Br 6.6111 3.4787 2.0101
Br 7.8861 6.6111 0.6700
```

Output
SG	No. 122

***

Run R
## TcAuBr2 (PBE)

Data for TcAuBr2 after structural relaxation.

```
8
Lattice="3.0754 0.0000 0.0000 0.0000 4.8410 0.0000 0.0000 0.0000 14.2093" Properties=species:S:1:pos:R:3 pbc="T T T"
Tc 0.0000 0.0000 0.0000
Tc 1.5377 2.4205 7.1047
Au 0.0000 0.0000 7.1047
Au 1.5377 2.4205 0.0000
Br 0.0000 2.4205 5.0441
Br 0.0000 2.4205 9.1652
Br 1.5377 0.0000 2.0606
Br 1.5377 0.0000 12.1488
```

Output
SG	No. 71

***

Run S
## TcAuBr2 (PBE)

Data for TcAuBr2 after structural relaxation.

```
8
Lattice="3.8436 0.0000 0.0000 0.0000 6.2983 0.0000 0.0000 0.0000 9.0180" Properties=species:S:1:pos:R:3 pbc="T T T"
Tc 0.0000 0.0000 0.0000
Tc 1.9218 3.1491 0.0000
Au 0.0000 3.1491 7.2334
Au 1.9218 0.0000 7.2334
Br 0.0000 0.0000 5.4219
Br 0.0000 3.1491 1.8077
Br 1.9218 0.0000 1.8077
Br 1.9218 3.1491 5.4219
```

Output
SG	No. 35

***

The least stable of them is run P.

***

Run P
## TeAu2Br6 (PBE)

Data for TeAu2Br6 after structural relaxation.

```
18
Lattice="7.3174 -7.6101 0.0000 7.3174 7.6101 0.0000 -1.1235 0.0000 6.8287" Properties=species:S:1:pos:R:3 pbc="T T T"
Te 6.4747 6.3741 5.1215
Te 7.0365 -6.3741 1.7072
Au 4.9620 0.0063 4.8093
Au 5.5238 -0.0063 1.3950
Au 7.9874 0.0063 5.4337
Au 8.5492 -0.0063 2.0194
Br 0.9757 0.9963 4.1476
Br 4.7758 4.6478 5.9233
Br 1.5374 -0.9963 0.7332
Br 5.1360 1.7373 3.0768
Br 8.1737 4.6478 4.3197
Br 4.5743 -1.7373 6.4912
Br 8.9370 1.7373 0.3375
Br 5.3375 -4.6478 2.5090
Br 8.3752 -1.7373 3.7519
Br 11.9738 0.9963 6.0955
Br 8.7355 -4.6478 0.9054
Br 12.5356 -0.9963 2.6811
```

Output
SG	No. 15

***

Run Q
## TeAu2Br6 (PBE)

Data for TeAu2Br6 after structural relaxation.

```
18
Lattice="7.6674 -6.5074 0.0000 7.6674 6.5074 0.0000 -2.6650 0.0000 7.5208" Properties=species:S:1:pos:R:3 pbc="T T T"
Te 5.6686 5.2998 5.6406
Te 7.0011 -5.2998 1.8802
Au 2.2577 0.3924 5.5168
Au 3.5902 -0.3924 1.7564
Au 9.0795 0.3924 5.7645
Au 10.4121 -0.3924 2.0040
Br -0.0763 1.0977 4.9172
Br 3.8356 3.6076 6.0711
Br 1.2562 -1.0977 1.1568
Br 7.5016 3.6076 5.2101
Br 5.6752 0.2229 0.4573
Br 4.3427 -0.2229 4.2177
Br 8.3271 0.2229 3.3031
Br 6.9946 -0.2229 7.0635
Br 5.1681 -3.6076 2.3107
Br 11.4136 1.0977 6.3640
Br 8.8342 -3.6076 1.4497
Br 12.7461 -1.0977 2.6036
```

Output
SG	No. 15

***

The least stable of them is run Q.

***

Run P
## Te4AuBr (PBE)

Data for Te4AuBr after structural relaxation.

```
6
Lattice="5.2340 0.0000 0.0000 1.6602 6.4174 0.0000 1.0897 1.6389 6.3748" Properties=species:S:1:pos:R:3 pbc="T T T"
Te 1.6369 2.5274 0.9606
Te 3.0825 4.7821 1.5206
Te 4.9014 3.2742 4.8542
Te 6.3470 5.5288 5.4142
Au 0.0000 0.0000 0.0000
Br 3.1618 0.8194 3.1874
```

Output
SG	No. 2

***

Run Q
## Te4AuBr (PBE)

Data for Te4AuBr after structural relaxation.

```
6
Lattice="0.0000 4.4486 4.4486 4.4486 0.0000 4.4486 4.4486 4.4486 0.0000" Properties=species:S:1:pos:R:3 pbc="T T T"
Te 1.1133 1.1133 1.1133
Te 3.3353 3.3353 1.1133
Te 3.3353 1.1133 3.3353
Te 1.1133 3.3353 3.3353
Au 6.6729 6.6729 6.6729
Br 4.4486 4.4486 4.4486
```

Output
SG	No. 216

***

The least stable of them is run Q.